(1)
Here is a geometry-optimized In2Sb5Pd12 structure from Alexandria. Energies are from PBE.

Computed properties:
The value obtained for the density of states at the Fermi level is 0.50 states/eV per atom. The total energy comes out at -4.974 eV per atom. The mass density is 9.390 Mg/m³. As for the crystal system: monoclinic. The spin magnetization comes out at 0.00 Bohr magnetons per cell.

a = 5.7413 Å, b = 8.3125 Å, c = 8.7415 Å
α = 106.07°, β = 90.00°, γ = 110.20°
Last column: nearest neighbours and their distance in Å.
Fractional coordinates of all 19 atoms:
Pd1 0.5167 0.0335 0.3140  2 Sb 2.60-2.72
Pd2 0.1012 0.6995 0.4126  4 Sb 2.67-2.71, 3 Pd 2.85-2.95
Pd3 0.4833 0.9665 0.6860  2 Sb 2.60-2.72
Pd4 0.8988 0.3005 0.5874  4 Sb 2.67-2.71, 3 Pd 2.85-2.95
Pd5 0.4017 0.3005 0.5874  4 Sb 2.67-2.71, 3 Pd 2.85-2.95
Pd6 0.4343 0.3851 0.1085  3 Sb 2.64-2.71, 2 Pd 2.78-2.83, 1 In 2.87
Pd7 0.5657 0.6149 0.8915  3 Sb 2.64-2.71, 2 Pd 2.78-2.83, 1 In 2.87
Pd8 0.0920 0.1840 0.2793  1 Sb 2.72, 2 In 2.82, 4 Pd 2.83-2.95
Pd9 0.5983 0.6995 0.4126  4 Sb 2.67-2.71, 3 Pd 2.85-2.95
Pd10 0.9080 0.8160 0.7207  1 Sb 2.72, 2 In 2.82, 4 Pd 2.83-2.95
Pd11 0.0492 0.6149 0.8915  3 Sb 2.64-2.71, 2 Pd 2.78-2.83, 1 In 2.87
Pd12 0.9508 0.3851 0.1085  3 Sb 2.64-2.71, 2 Pd 2.78-2.83, 1 In 2.87
Sb1 0.6967 0.3934 0.3608  7 Pd 2.64-2.72
Sb2 0.3033 0.6066 0.6392  7 Pd 2.64-2.72
Sb3 0.3471 0.6941 0.1538  7 Pd 2.60-2.71
Sb4 0.0000 0.0000 0.5000  6 Pd 2.67-2.72
Sb5 0.6529 0.3059 0.8462  7 Pd 2.60-2.71
In1 0.2480 0.0000 0.0000  6 Pd 2.82-3.05, 2 In 2.85-2.89
In2 0.7520 0.0000 0.0000  6 Pd 2.82-3.05, 2 In 2.85-2.89

---

(2)
Here is a geometry-optimized InSb4Pd15 structure from Alexandria. Energies are from PBE.

Computed properties:
The value obtained for the density of states at the Fermi level is 0.55 states/eV per atom. The total energy comes out at -5.252 eV per atom. The mass density is 10.971 Mg/m³. As for the crystal system: tetragonal. The spin magnetization comes out at 0.00 Bohr magnetons per cell.

a = 4.0657 Å, b = 4.0657 Å, c = 20.1279 Å
α = 90.00°, β = 90.00°, γ = 90.00°
Last column: nearest neighbours and their distance in Å.
Fractional coordinates of all 20 atoms:
Sb1 0.0000 0.0000 0.1964  12 Pd 2.80-2.91
Sb2 0.0000 0.0000 0.8036  12 Pd 2.80-2.91
Sb3 0.0000 0.0000 0.3990  12 Pd 2.85-2.87
Sb4 0.0000 0.0000 0.6010  12 Pd 2.85-2.87
Pd1 0.0000 0.5000 0.8992  2 Sb 2.80, 2 In 2.87, 8 Pd 2.87-2.88
Pd2 0.5000 0.0000 0.3000  8 Pd 2.83-2.87, 4 Sb 2.85-2.91
Pd3 0.5000 0.5000 0.4002  8 Pd 2.86, 4 Sb 2.87
Pd4 0.0000 0.5000 0.1008  2 Sb 2.80, 2 In 2.87, 8 Pd 2.87-2.88
Pd5 0.5000 0.5000 0.2019  8 Pd 2.83-2.88, 4 Sb 2.88
Pd6 0.5000 0.0000 0.7000  8 Pd 2.83-2.87, 4 Sb 2.85-2.91
Pd7 0.0000 0.5000 0.7000  8 Pd 2.83-2.87, 4 Sb 2.85-2.91
Pd8 0.0000 0.5000 0.3000  8 Pd 2.83-2.87, 4 Sb 2.85-2.91
Pd9 0.5000 0.0000 0.1008  2 Sb 2.80, 2 In 2.87, 8 Pd 2.87-2.88
Pd10 0.5000 0.0000 0.5000  8 Pd 2.86-2.87, 4 Sb 2.87
Pd11 0.5000 0.5000 0.7981  8 Pd 2.83-2.88, 4 Sb 2.88
Pd12 0.5000 0.5000 0.5998  8 Pd 2.86, 4 Sb 2.87
Pd13 0.0000 0.5000 0.5000  8 Pd 2.86-2.87, 4 Sb 2.87
Pd14 0.5000 0.0000 0.8992  2 Sb 2.80, 2 In 2.87, 8 Pd 2.87-2.88
Pd15 0.5000 0.5000 0.0000  8 Pd 2.87, 4 In 2.87
In1 0.0000 0.0000 0.0000  12 Pd 2.87

---

(3)
Here is a geometry-optimized InSbPd6 structure from Alexandria. Energies are from PBE.

Computed properties:
The value obtained for the density of states at the Fermi level is 0.51 states/eV per atom. The total energy comes out at -5.163 eV per atom. The mass density is 11.002 Mg/m³. As for the crystal system: hexagonal. For the energy above the most stable polymorph in this dataset, the calculation gives 0.00 eV/f.u. The spin magnetization comes out at 0.00 Bohr magnetons per cell.

a = 4.6427 Å, b = 5.7315 Å, c = 5.7315 Å
α = 120.00°, β = 90.00°, γ = 90.00°
Last column: nearest neighbours and their distance in Å.
Fractional coordinates of all 8 atoms:
Pd1 0.0000 0.5834 0.9171  8 Pd 2.85-2.87, 2 Sb 2.85, 2 In 2.87
Pd2 0.0000 0.5833 0.4167  8 Pd 2.85-2.87, 2 Sb 2.85, 2 In 2.87
Pd3 0.0000 0.0829 0.4166  8 Pd 2.85-2.87, 2 Sb 2.85, 2 In 2.87
Pd4 0.5000 0.9158 0.5817  8 Pd 2.85-2.88, 2 In 2.86, 2 Sb 2.87
Pd5 0.5000 0.4183 0.0842  8 Pd 2.85-2.88, 2 In 2.86, 2 Sb 2.87
Pd6 0.5000 0.9160 0.0840  8 Pd 2.85-2.88, 2 In 2.85, 2 Sb 2.87
Sb1 0.5000 0.4167 0.5833  12 Pd 2.85-2.87
In1 0.0000 0.0833 0.9167  12 Pd 2.85-2.87

---

Q: Which value of spin magnetization does entry 2 give?
A: 0.00 Bohr magnetons per cell

---

Copy entry 2 word for word.
Here is a geometry-optimized InSb4Pd15 structure from Alexandria. Energies are from PBE.

Computed properties:
The value obtained for the density of states at the Fermi level is 0.55 states/eV per atom. The total energy comes out at -5.252 eV per atom. The mass density is 10.971 Mg/m³. As for the crystal system: tetragonal. The spin magnetization comes out at 0.00 Bohr magnetons per cell.

a = 4.0657 Å, b = 4.0657 Å, c = 20.1279 Å
α = 90.00°, β = 90.00°, γ = 90.00°
Last column: nearest neighbours and their distance in Å.
Fractional coordinates of all 20 atoms:
Sb1 0.0000 0.0000 0.1964  12 Pd 2.80-2.91
Sb2 0.0000 0.0000 0.8036  12 Pd 2.80-2.91
Sb3 0.0000 0.0000 0.3990  12 Pd 2.85-2.87
Sb4 0.0000 0.0000 0.6010  12 Pd 2.85-2.87
Pd1 0.0000 0.5000 0.8992  2 Sb 2.80, 2 In 2.87, 8 Pd 2.87-2.88
Pd2 0.5000 0.0000 0.3000  8 Pd 2.83-2.87, 4 Sb 2.85-2.91
Pd3 0.5000 0.5000 0.4002  8 Pd 2.86, 4 Sb 2.87
Pd4 0.0000 0.5000 0.1008  2 Sb 2.80, 2 In 2.87, 8 Pd 2.87-2.88
Pd5 0.5000 0.5000 0.2019  8 Pd 2.83-2.88, 4 Sb 2.88
Pd6 0.5000 0.0000 0.7000  8 Pd 2.83-2.87, 4 Sb 2.85-2.91
Pd7 0.0000 0.5000 0.7000  8 Pd 2.83-2.87, 4 Sb 2.85-2.91
Pd8 0.0000 0.5000 0.3000  8 Pd 2.83-2.87, 4 Sb 2.85-2.91
Pd9 0.5000 0.0000 0.1008  2 Sb 2.80, 2 In 2.87, 8 Pd 2.87-2.88
Pd10 0.5000 0.0000 0.5000  8 Pd 2.86-2.87, 4 Sb 2.87
Pd11 0.5000 0.5000 0.7981  8 Pd 2.83-2.88, 4 Sb 2.88
Pd12 0.5000 0.5000 0.5998  8 Pd 2.86, 4 Sb 2.87
Pd13 0.0000 0.5000 0.5000  8 Pd 2.86-2.87, 4 Sb 2.87
Pd14 0.5000 0.0000 0.8992  2 Sb 2.80, 2 In 2.87, 8 Pd 2.87-2.88
Pd15 0.5000 0.5000 0.0000  8 Pd 2.87, 4 In 2.87
In1 0.0000 0.0000 0.0000  12 Pd 2.87

---

Q: What is the formula in the second record?
A: InSb4Pd15